--- one ---
First-principles (PBE) data for NaScCdSe3 after structural relaxation, as listed in OQMD.

The structure in CIF format:
```
data_NaScCdSe3
_cell_length_a 12.083
_cell_length_b 3.993
_cell_length_c 12.584
_cell_angle_alpha 90.00
_cell_angle_beta 90.00
_cell_angle_gamma 90.00
_symmetry_space_group_name_H-M 'P 1'
_symmetry_Int_Tables_number 1
loop_
_symmetry_equiv_pos_as_xyz
'x,y,z'
loop_
_atom_site_label
_atom_site_fract_x
_atom_site_fract_y
_atom_site_fract_z
_atom_site_occupancy
Se1 0.136 0.500 0.239 1
Na1 0.503 0.500 0.375 1
Na2 0.497 0.000 0.625 1
Sc1 0.836 0.000 0.552 1
Se2 0.670 0.500 0.560 1
Sc2 0.164 0.500 0.448 1
Se3 0.830 0.500 0.060 1
Se4 0.170 0.000 0.940 1
Cd1 0.784 0.500 0.269 1
Sc3 0.664 0.000 0.052 1
Na3 0.003 0.000 0.125 1
Se5 0.421 0.000 0.072 1
Se6 0.636 0.000 0.261 1
Se7 0.579 0.500 0.928 1
Sc4 0.336 0.500 0.948 1
Cd2 0.216 0.000 0.731 1
Se8 0.330 0.000 0.440 1
Cd3 0.716 0.500 0.769 1
Se9 0.921 0.500 0.428 1
Se10 0.364 0.500 0.739 1
Se11 0.864 0.000 0.761 1
Se12 0.079 0.000 0.572 1
Na4 0.997 0.500 0.875 1
Cd4 0.284 0.000 0.231 1
```

total moment: 0.00 μB per formula unit

=====

--- two ---
First-principles (PBE) data for NaScCdSe3 after structural relaxation, as listed in OQMD.

The structure in CIF format:
```
data_NaScCdSe3
_cell_length_a 7.182
_cell_length_b 7.182
_cell_length_c 10.741
_cell_angle_alpha 90.00
_cell_angle_beta 90.00
_cell_angle_gamma 32.29
_symmetry_space_group_name_H-M 'P 1'
_symmetry_Int_Tables_number 1
loop_
_symmetry_equiv_pos_as_xyz
'x,y,z'
loop_
_atom_site_label
_atom_site_fract_x
_atom_site_fract_y
_atom_site_fract_z
_atom_site_occupancy
Se1 0.087 0.087 0.250 1
Cd1 0.462 0.462 0.250 1
Se2 0.634 0.634 0.544 1
Cd2 0.538 0.538 0.750 1
Se3 0.634 0.634 0.956 1
Na1 0.247 0.247 0.750 1
Se4 0.366 0.366 0.044 1
Sc1 0.000 0.000 0.000 1
Se5 0.366 0.366 0.456 1
Na2 0.753 0.753 0.250 1
Se6 0.913 0.913 0.750 1
Sc2 0.000 0.000 0.500 1
```

total moment: 0.01 μB per formula unit

=====

So which one is most stable? That would be two, about 5 meV/atom below the next structure.

=====

--- one ---
First-principles (PBE) data for NaScCdTe3 after structural relaxation, as listed in OQMD.

The structure in CIF format:
```
data_NaScCdTe3
_cell_length_a 4.268
_cell_length_b 11.595
_cell_length_c 14.490
_cell_angle_alpha 90.00
_cell_angle_beta 90.00
_cell_angle_gamma 90.00
_symmetry_space_group_name_H-M 'P 1'
_symmetry_Int_Tables_number 1
loop_
_symmetry_equiv_pos_as_xyz
'x,y,z'
loop_
_atom_site_label
_atom_site_fract_x
_atom_site_fract_y
_atom_site_fract_z
_atom_site_occupancy
Te1 0.750 0.966 0.122 1
Te2 0.250 0.034 0.878 1
Te3 0.750 0.565 0.106 1
Cd1 0.750 0.756 0.220 1
Cd2 0.250 0.244 0.780 1
Te4 0.750 0.231 0.653 1
Na1 0.250 0.285 0.483 1
Cd3 0.750 0.256 0.280 1
Cd4 0.250 0.744 0.720 1
Te5 0.250 0.435 0.894 1
Na2 0.750 0.715 0.517 1
Sc1 0.750 0.497 0.762 1
Na3 0.750 0.215 0.983 1
Sc2 0.250 0.003 0.262 1
Te6 0.250 0.269 0.153 1
Te7 0.250 0.534 0.622 1
Te8 0.750 0.065 0.394 1
Te9 0.750 0.466 0.378 1
Te10 0.750 0.731 0.847 1
Sc3 0.750 0.997 0.738 1
Sc4 0.250 0.503 0.238 1
Na4 0.250 0.785 0.017 1
Te11 0.250 0.769 0.347 1
Te12 0.250 0.935 0.606 1
```

total moment: 0.00 μB per formula unit

=====

--- two ---
First-principles (PBE) data for NaScCdTe3 after structural relaxation, as listed in OQMD.

The structure in CIF format:
```
data_NaScCdTe3
_cell_length_a 8.604
_cell_length_b 4.334
_cell_length_c 10.673
_cell_angle_alpha 90.00
_cell_angle_beta 106.74
_cell_angle_gamma 90.00
_symmetry_space_group_name_H-M 'P 1'
_symmetry_Int_Tables_number 1
loop_
_symmetry_equiv_pos_as_xyz
'x,y,z'
loop_
_atom_site_label
_atom_site_fract_x
_atom_site_fract_y
_atom_site_fract_z
_atom_site_occupancy
Te1 0.058 0.250 0.357 1
Sc1 0.173 0.250 0.643 1
Te2 0.231 0.250 0.946 1
Sc2 0.827 0.750 0.357 1
Te3 0.410 0.750 0.633 1
Te4 0.590 0.250 0.367 1
Na1 0.300 0.750 0.305 1
Te5 0.942 0.750 0.643 1
Te6 0.769 0.750 0.054 1
Cd1 0.421 0.750 0.897 1
Cd2 0.579 0.250 0.103 1
Na2 0.700 0.250 0.695 1
```

total moment: 0.00 μB per formula unit

=====

So which one is most stable? That would be two, about 18 meV/atom below the next structure.

=====

--- one ---
First-principles (PBE) data for NaYCdSe3 after structural relaxation, as listed in OQMD.

The structure in CIF format:
```
data_NaYCdSe3
_cell_length_a 4.164
_cell_length_b 12.273
_cell_length_c 12.628
_cell_angle_alpha 90.00
_cell_angle_beta 90.00
_cell_angle_gamma 90.00
_symmetry_space_group_name_H-M 'P 1'
_symmetry_Int_Tables_number 1
loop_
_symmetry_equiv_pos_as_xyz
'x,y,z'
loop_
_atom_site_label
_atom_site_fract_x
_atom_site_fract_y
_atom_site_fract_z
_atom_site_occupancy
Se1 0.250 0.354 0.729 1
Y1 0.250 0.169 0.453 1
Se2 0.750 0.161 0.940 1
Y2 0.750 0.831 0.547 1
Se3 0.750 0.339 0.440 1
Cd1 0.750 0.285 0.234 1
Se4 0.250 0.839 0.060 1
Y3 0.750 0.669 0.047 1
Na1 0.250 0.995 0.873 1
Se5 0.250 0.661 0.560 1
Cd2 0.250 0.785 0.266 1
Se6 0.750 0.854 0.771 1
Cd3 0.750 0.215 0.734 1
Se7 0.250 0.575 0.920 1
Se8 0.250 0.925 0.420 1
Na2 0.750 0.495 0.627 1
Se9 0.750 0.425 0.080 1
Cd4 0.250 0.715 0.766 1
Se10 0.250 0.146 0.229 1
Na3 0.750 0.005 0.127 1
Y4 0.250 0.331 0.953 1
Se11 0.750 0.075 0.580 1
Se12 0.750 0.646 0.271 1
Na4 0.250 0.505 0.373 1
```

total moment: 0.00 μB per formula unit

=====

--- two ---
First-principles (PBE) data for NaYCdSe3 after structural relaxation, as listed in OQMD.

The structure in CIF format:
```
data_NaYCdSe3
_cell_length_a 13.820
_cell_length_b 4.172
_cell_length_c 11.309
_cell_angle_alpha 90.00
_cell_angle_beta 90.00
_cell_angle_gamma 90.00
_symmetry_space_group_name_H-M 'P 1'
_symmetry_Int_Tables_number 1
loop_
_symmetry_equiv_pos_as_xyz
'x,y,z'
loop_
_atom_site_label
_atom_site_fract_x
_atom_site_fract_y
_atom_site_fract_z
_atom_site_occupancy
Se1 0.894 0.750 0.575 1
Se2 0.893 0.250 0.879 1
Se3 0.150 0.750 0.740 1
Se4 0.394 0.750 0.925 1
Se5 0.106 0.250 0.425 1
Na1 0.759 0.750 0.070 1
Na2 0.259 0.750 0.430 1
Se6 0.350 0.250 0.240 1
Y1 0.977 0.750 0.348 1
Cd1 0.514 0.750 0.600 1
Se7 0.850 0.250 0.260 1
Se8 0.606 0.250 0.075 1
Se9 0.650 0.750 0.760 1
Y2 0.477 0.750 0.152 1
Cd2 0.486 0.250 0.400 1
Na3 0.741 0.250 0.570 1
Y3 0.023 0.250 0.652 1
Se10 0.393 0.250 0.621 1
Cd3 0.014 0.750 0.900 1
Na4 0.241 0.250 0.930 1
Y4 0.523 0.250 0.848 1
Cd4 0.986 0.250 0.100 1
Se11 0.607 0.750 0.379 1
Se12 0.107 0.750 0.121 1
```

total moment: 0.00 μB per formula unit

=====

--- three ---
First-principles (PBE) data for NaYCdSe3 after structural relaxation, as listed in OQMD.

The structure in CIF format:
```
data_NaYCdSe3
_cell_length_a 8.235
_cell_length_b 4.208
_cell_length_c 10.355
_cell_angle_alpha 90.00
_cell_angle_beta 105.26
_cell_angle_gamma 90.00
_symmetry_space_group_name_H-M 'P 1'
_symmetry_Int_Tables_number 1
loop_
_symmetry_equiv_pos_as_xyz
'x,y,z'
loop_
_atom_site_label
_atom_site_fract_x
_atom_site_fract_y
_atom_site_fract_z
_atom_site_occupancy
Se1 0.084 0.250 0.862 1
Se2 0.916 0.750 0.138 1
Y1 0.672 0.250 0.143 1
Se3 0.436 0.750 0.143 1
Y2 0.328 0.750 0.857 1
Se4 0.252 0.750 0.553 1
Se5 0.564 0.250 0.857 1
Cd1 0.079 0.250 0.607 1
Na1 0.809 0.750 0.824 1
Na2 0.191 0.250 0.176 1
Cd2 0.921 0.750 0.393 1
Se6 0.748 0.250 0.447 1
```

total moment: 0.00 μB per formula unit

=====

So which one is most stable? That would be three, about 16 meV/atom below the next structure.

=====

--- one ---
First-principles (PBE) data for NaSmCd after structural relaxation, as listed in OQMD.

The structure in CIF format:
```
data_NaSmCd
_cell_length_a 5.183
_cell_length_b 5.183
_cell_length_c 5.183
_cell_angle_alpha 60.00
_cell_angle_beta 60.00
_cell_angle_gamma 60.00
_symmetry_space_group_name_H-M 'P 1'
_symmetry_Int_Tables_number 1
loop_
_symmetry_equiv_pos_as_xyz
'x,y,z'
loop_
_atom_site_label
_atom_site_fract_x
_atom_site_fract_y
_atom_site_fract_z
_atom_site_occupancy
Cd1 0.250 0.250 0.250 1
Sm1 0.000 0.000 0.000 1
Na1 0.750 0.750 0.750 1
```

total moment: 0.04 μB per formula unit

=====

--- two ---
First-principles (PBE) data for NaSmCd after structural relaxation, as listed in OQMD.

The structure in CIF format:
```
data_NaSmCd
_cell_length_a 5.110
_cell_length_b 5.110
_cell_length_c 5.110
_cell_angle_alpha 60.00
_cell_angle_beta 60.00
_cell_angle_gamma 60.00
_symmetry_space_group_name_H-M 'P 1'
_symmetry_Int_Tables_number 1
loop_
_symmetry_equiv_pos_as_xyz
'x,y,z'
loop_
_atom_site_label
_atom_site_fract_x
_atom_site_fract_y
_atom_site_fract_z
_atom_site_occupancy
Sm1 0.750 0.750 0.750 1
Cd1 0.000 0.000 0.000 1
Na1 0.250 0.250 0.250 1
```

total moment: 0.04 μB per formula unit

=====

So which one is most stable? That would be two, about 264 meV/atom below the next structure.

=====

--- one ---
First-principles (PBE) data for NbCdNi after structural relaxation, as listed in OQMD.

The structure in CIF format:
```
data_NbCdNi
_cell_length_a 4.369
_cell_length_b 4.369
_cell_length_c 4.369
_cell_angle_alpha 60.00
_cell_angle_beta 60.00
_cell_angle_gamma 60.00
_symmetry_space_group_name_H-M 'P 1'
_symmetry_Int_Tables_number 1
loop_
_symmetry_equiv_pos_as_xyz
'x,y,z'
loop_
_atom_site_label
_atom_site_fract_x
_atom_site_fract_y
_atom_site_fract_z
_atom_site_occupancy
Cd1 0.250 0.250 0.250 1
Nb1 0.000 0.000 0.000 1
Ni1 0.750 0.750 0.750 1
```

total moment: 0.25 μB per formula unit

=====

--- two ---
First-principles (PBE) data for NbCdNi after structural relaxation, as listed in OQMD.

The structure in CIF format:
```
data_NbCdNi
_cell_length_a 4.313
_cell_length_b 4.313
_cell_length_c 4.313
_cell_angle_alpha 60.00
_cell_angle_beta 60.00
_cell_angle_gamma 60.00
_symmetry_space_group_name_H-M 'P 1'
_symmetry_Int_Tables_number 1
loop_
_symmetry_equiv_pos_as_xyz
'x,y,z'
loop_
_atom_site_label
_atom_site_fract_x
_atom_site_fract_y
_atom_site_fract_z
_atom_site_occupancy
Nb1 0.250 0.250 0.250 1
Ni1 0.750 0.750 0.750 1
Cd1 0.000 0.000 0.000 1
```

total moment: 0.00 μB per formula unit

=====

So which one is most stable? That would be one, about 117 meV/atom below the next structure.